No. 1
Ba2MgNiPb, optimized geometry, DFT GGA-PBE; formation energy = -120.0 meV/atom; spin magnetization = 0.0 μB per formula unit
1.0
5.9046 0.0000 0.0000
0.0000 5.9046 0.0000
0.0000 0.0000 5.0363
Pb Ni Ba Mg
1 1 2 1
Cartesian
2.9523 2.9523 2.5182 Pb
0.0000 0.0000 0.0000 Ni
2.9523 0.0000 0.0000 Ba
0.0000 2.9523 0.0000 Ba
0.0000 0.0000 2.5182 Mg

***

No. 2
Ho5ErBi6, optimized geometry, DFT GGA-PBE; formation energy = -832.3 meV/atom; spin magnetization = 0.0 μB per formula unit
1.0
7.7135 0.2106 0.0000
2.3736 7.3446 0.0000
1.1868 3.6723 6.6839
Bi Ho Er
6 5 1
Cartesian
7.5675 5.6711 0.0000 Bi
3.7061 5.5648 2.2237 Bi
7.5678 5.6627 4.4602 Bi
2.5196 1.8841 0.0000 Bi
6.3810 1.9904 2.2237 Bi
4.8929 9.2371 4.4602 Bi
1.1868 3.6723 2.2264 Ho
5.0435 3.7776 0.0000 Ho
5.0435 3.7776 4.4510 Ho
6.2303 7.4499 2.2329 Ho
2.3736 7.3446 4.4575 Ho
0.0000 0.0000 0.0000 Er

***

No. 3
HoAuSe2, optimized geometry, DFT GGA-PBE; uncorrected formation energy = -0.99 eV/atom; spin magnetization = 0.0 μB per formula unit
1.0
-2.8644 -3.3527 0.3027
-0.0520 -2.5478 3.6136
-5.8741 2.5193 4.3899
Au Ho Se
1 1 2
Cartesian
-1.1219 -2.6918 2.9229 Au
-6.4046 -0.9814 4.0518 Ho
-3.7812 -0.2605 4.5957 Se
-2.3365 -1.8386 0.8005 Se

***

No. 4
Nb2CuMoSe, optimized geometry, DFT GGA-PBE; uncorrected formation energy = 1.22 eV/atom; spin magnetization = 0.0 μB per formula unit
1.0
-2.9264 3.3455 1.4916
-0.4815 -2.2440 4.0883
3.5304 2.3320 1.6957
Se Nb Cu Mo
1 2 1 1
Cartesian
0.0613 1.7168 3.6378 Se
-1.4632 1.6728 0.7458 Nb
-0.2407 -1.1220 2.0441 Nb
0.0000 0.0000 0.0000 Cu
1.7652 1.1660 0.8479 Mo

***

No. 5
AcHoMgRu, optimized geometry, DFT GGA-PBE; formation energy = -8.1 meV/atom; spin magnetization = 0.0 μB per formula unit
1.0
-2.3351 2.1414 4.1752
0.1869 -2.4296 4.6404
2.8961 1.9934 3.8871
Ru Mg Ac Ho
1 1 1 1
Cartesian
0.5609 1.2790 9.5270 Ru
0.1870 0.4263 3.1757 Mg
0.0000 0.0000 0.0000 Ac
0.3739 0.8526 6.3513 Ho

***

No. 6
Li3TeS, optimized geometry, DFT GGA-PBE; uncorrected formation energy = -0.89 eV/atom; spin magnetization = 1.0 μB per formula unit
1.0
-3.2417 -3.3320 -0.4265
3.2714 -2.9969 -1.4521
0.7627 -1.3072 4.4161
S Li Te
1 3 1
Cartesian
0.0000 0.0000 0.0000 S
-1.6208 -1.6660 -0.2132 Li
0.3813 -0.6536 2.2080 Li
1.6357 -1.4985 -0.7260 Li
0.3962 -3.8180 1.2688 Te

***

- What is the spin magnetization in the second record?
  0.0 μB per formula unit

***

- The highest spin magnetization belongs to which entry?
  Li3TeS

***

Copy entry 2 word for word.
Ho5ErBi6, optimized geometry, DFT GGA-PBE; formation energy = -832.3 meV/atom; spin magnetization = 0.0 μB per formula unit
1.0
7.7135 0.2106 0.0000
2.3736 7.3446 0.0000
1.1868 3.6723 6.6839
Bi Ho Er
6 5 1
Cartesian
7.5675 5.6711 0.0000 Bi
3.7061 5.5648 2.2237 Bi
7.5678 5.6627 4.4602 Bi
2.5196 1.8841 0.0000 Bi
6.3810 1.9904 2.2237 Bi
4.8929 9.2371 4.4602 Bi
1.1868 3.6723 2.2264 Ho
5.0435 3.7776 0.0000 Ho
5.0435 3.7776 4.4510 Ho
6.2303 7.4499 2.2329 Ho
2.3736 7.3446 4.4575 Ho
0.0000 0.0000 0.0000 Er